(1)
# PBE YNb2PIr, optimized geometry
data_YNb2PIr
_cell_length_a 4.803
_cell_length_b 5.448
_cell_length_c 4.803
_cell_angle_alpha 90.00
_cell_angle_beta 90.00
_cell_angle_gamma 90.00
_symmetry_space_group_name_H-M 'P 1'
_symmetry_Int_Tables_number 1
_symmetry_space_group_name_Hall 'P 1'
loop_
_atom_site_label
_atom_site_fract_x
_atom_site_fract_y
_atom_site_fract_z
Y1 0.000 0.500 0.000
P1 0.500 0.500 0.500
Nb1 0.000 0.000 0.500
Nb2 0.500 0.000 0.000
Ir1 0.000 0.000 0.000
# - Symmetry: No. 123
# - DFT formation energy: 3.0 eV per formula unit
# - DFT total energy: -7.58 eV per atom

=====

(2)
# PBE Ce4Pm3YSe8, optimized geometry
data_Ce4Pm3YSe8
_cell_length_a 8.359
_cell_length_b 8.391
_cell_length_c 8.359
_cell_angle_alpha 119.87
_cell_angle_beta 120.00
_cell_angle_gamma 90.00
_symmetry_space_group_name_H-M 'P 1'
_symmetry_Int_Tables_number 1
_symmetry_space_group_name_Hall 'P 1'
loop_
_atom_site_label
_atom_site_fract_x
_atom_site_fract_y
_atom_site_fract_z
Ce1 0.500 0.000 0.000
Ce2 0.500 0.000 0.500
Ce3 0.000 0.000 0.000
Ce4 0.000 0.000 0.500
Pm1 0.500 0.500 0.000
Pm2 0.500 0.500 0.500
Pm3 0.000 0.500 0.500
Y1 0.000 0.500 0.000
Se1 0.246 0.746 0.999
Se2 0.246 0.746 0.492
Se3 0.250 0.251 0.501
Se4 0.753 0.746 0.999
Se5 0.247 0.254 0.001
Se6 0.750 0.749 0.499
Se7 0.754 0.254 0.508
Se8 0.754 0.254 0.001
# - Raw formation energy: -1.826 eV/atom
# - Symmetry: No. 166
# - DFT total energy: -6.35 eV per atom

=====

(3)
# PBE CuSb3Te, optimized geometry
data_CuSb3Te
_cell_length_a 5.128
_cell_length_b 5.128
_cell_length_c 5.128
_cell_angle_alpha 90.00
_cell_angle_beta 90.00
_cell_angle_gamma 90.00
_symmetry_space_group_name_H-M 'P 1'
_symmetry_Int_Tables_number 1
_symmetry_space_group_name_Hall 'P 1'
loop_
_atom_site_label
_atom_site_fract_x
_atom_site_fract_y
_atom_site_fract_z
Sb1 0.000 0.500 0.000
Sb2 0.000 0.000 0.500
Sb3 0.500 0.000 0.000
Te1 0.500 0.500 0.500
Cu1 0.000 0.000 0.000
# - Raw formation energy: 0.426 eV/atom
# - Symmetry: No. 221
# - DFT total energy: -3.50 eV per atom

=====

(4)
# PBE ScPOsS2, optimized geometry
data_ScPOsS2
_cell_length_a 4.746
_cell_length_b 4.746
_cell_length_c 5.047
_cell_angle_alpha 90.00
_cell_angle_beta 90.00
_cell_angle_gamma 90.00
_symmetry_space_group_name_H-M 'P 1'
_symmetry_Int_Tables_number 1
_symmetry_space_group_name_Hall 'P 1'
loop_
_atom_site_label
_atom_site_fract_x
_atom_site_fract_y
_atom_site_fract_z
Sc1 0.000 0.000 0.000
P1 0.000 0.000 0.500
S1 0.000 0.500 0.000
S2 0.500 0.000 0.000
Os1 0.500 0.500 0.500
# - Raw formation energy: 0.990 eV/atom
# - Symmetry: No. 123
# - DFT total energy: -5.26 eV per atom

=====

(5)
# PBE VGa3Tc, optimized geometry
data_VGa3Tc
_cell_length_a 7.180
_cell_length_b 5.135
_cell_length_c 9.102
_cell_angle_alpha 90.00
_cell_angle_beta 113.75
_cell_angle_gamma 90.00
_symmetry_space_group_name_H-M 'P 1'
_symmetry_Int_Tables_number 1
_symmetry_space_group_name_Hall 'P 1'
loop_
_atom_site_label
_atom_site_fract_x
_atom_site_fract_y
_atom_site_fract_z
V1 0.419 0.610 0.079
V2 0.081 0.110 0.421
V3 0.581 0.390 0.921
V4 0.919 0.890 0.579
Ga1 0.180 0.616 0.494
Ga2 0.320 0.116 0.006
Ga3 0.820 0.384 0.506
Ga4 0.680 0.884 0.994
Ga5 0.866 0.211 0.809
Ga6 0.634 0.711 0.691
Ga7 0.134 0.789 0.191
Ga8 0.366 0.289 0.309
Ga9 0.544 0.788 0.377
Ga10 0.956 0.288 0.123
Ga11 0.456 0.212 0.623
Ga12 0.044 0.712 0.877
Tc1 0.826 0.641 0.259
Tc2 0.674 0.141 0.241
Tc3 0.174 0.359 0.741
Tc4 0.326 0.859 0.759
# - Symmetry: No. 14
# - DFT formation energy: -0.6 eV per formula unit
# - DFT total energy: -5.84 eV per atom

=====

(6)
# PBE CoMo2W, optimized geometry
data_CoMo2W
_cell_length_a 2.657
_cell_length_b 3.920
_cell_length_c 5.692
_cell_angle_alpha 90.00
_cell_angle_beta 90.00
_cell_angle_gamma 90.00
_symmetry_space_group_name_H-M 'P 1'
_symmetry_Int_Tables_number 1
_symmetry_space_group_name_Hall 'P 1'
loop_
_atom_site_label
_atom_site_fract_x
_atom_site_fract_y
_atom_site_fract_z
Co1 0.500 0.500 0.750
Mo1 0.000 0.000 0.983
Mo2 0.000 0.000 0.517
W1 0.500 0.500 0.250
# - Symmetry: No. 47
# - DFT formation energy: 1.1 eV per formula unit
# - DFT total energy: -10.15 eV per atom

=====

(7)
# PBE CdHNO2, optimized geometry
data_CdHNO2
_cell_length_a 4.091
_cell_length_b 4.091
_cell_length_c 2.688
_cell_angle_alpha 90.00
_cell_angle_beta 90.00
_cell_angle_gamma 90.00
_symmetry_space_group_name_H-M 'P 1'
_symmetry_Int_Tables_number 1
_symmetry_space_group_name_Hall 'P 1'
loop_
_atom_site_label
_atom_site_fract_x
_atom_site_fract_y
_atom_site_fract_z
H1 0.000 0.000 0.000
N1 0.000 0.000 0.500
O1 0.000 0.500 0.000
O2 0.500 0.000 0.000
Cd1 0.500 0.500 0.500
# - Symmetry: No. 123
# - DFT total energy: -3.58 eV per atom

=====

(8)
# PBE Ac8Te4P3Br, optimized geometry
data_Ac8Te4P3Br
_cell_length_a 9.078
_cell_length_b 9.306
_cell_length_c 9.079
_cell_angle_alpha 119.20
_cell_angle_beta 120.00
_cell_angle_gamma 90.00
_symmetry_space_group_name_H-M 'P 1'
_symmetry_Int_Tables_number 1
_symmetry_space_group_name_Hall 'P 1'
loop_
_atom_site_label
_atom_site_fract_x
_atom_site_fract_y
_atom_site_fract_z
Ac1 0.248 0.720 0.972
Ac2 0.248 0.720 0.496
Ac3 0.262 0.286 0.524
Ac4 0.724 0.720 0.972
Ac5 0.276 0.280 0.028
Ac6 0.738 0.714 0.476
Ac7 0.752 0.280 0.504
Ac8 0.752 0.280 0.028
Te1 0.500 0.000 0.000
Te2 0.500 0.000 0.500
Te3 0.000 0.000 0.000
Te4 0.000 0.000 0.500
P1 0.500 0.500 0.000
P2 0.500 0.500 0.500
P3 0.000 0.500 0.500
Br1 0.000 0.500 0.000
# - Raw formation energy: -1.512 eV/atom
# - Symmetry: No. 166
# - DFT total energy: -5.47 eV per atom

=====

(9)
# PBE Sr4Ag2S, optimized geometry
data_Sr4Ag2S
_cell_length_a 5.806
_cell_length_b 5.806
_cell_length_c 8.790
_cell_angle_alpha 109.29
_cell_angle_beta 109.29
_cell_angle_gamma 90.00
_symmetry_space_group_name_H-M 'P 1'
_symmetry_Int_Tables_number 1
_symmetry_space_group_name_Hall 'P 1'
loop_
_atom_site_label
_atom_site_fract_x
_atom_site_fract_y
_atom_site_fract_z
Sr1 0.806 0.806 0.611
Sr2 0.194 0.194 0.389
Sr3 0.000 0.500 0.000
Sr4 0.500 0.000 0.000
S1 0.000 0.000 0.000
Ag1 0.602 0.602 0.203
Ag2 0.398 0.398 0.797
# - Raw formation energy: -0.620 eV/atom
# - Symmetry: No. 139
# - DFT total energy: -2.99 eV per atom

=====

(10)
# PBE BaAs, optimized geometry
data_BaAs
_cell_length_a 6.659
_cell_length_b 6.659
_cell_length_c 6.697
_cell_angle_alpha 90.00
_cell_angle_beta 90.00
_cell_angle_gamma 90.00
_symmetry_space_group_name_H-M 'P 1'
_symmetry_Int_Tables_number 1
_symmetry_space_group_name_Hall 'P 1'
loop_
_atom_site_label
_atom_site_fract_x
_atom_site_fract_y
_atom_site_fract_z
Ba1 0.195 0.195 0.000
Ba2 0.695 0.305 0.500
Ba3 0.305 0.695 0.500
Ba4 0.805 0.805 0.000
As1 0.360 0.640 0.000
As2 0.860 0.860 0.500
As3 0.140 0.140 0.500
As4 0.640 0.360 0.000
# - Symmetry: No. 136
# - DFT formation energy: -1.8 eV per formula unit
# - DFT total energy: -4.16 eV per atom

=====

(11)
# PBE BaCd3Mo, optimized geometry
data_BaCd3Mo
_cell_length_a 5.380
_cell_length_b 5.380
_cell_length_c 5.380
_cell_angle_alpha 90.00
_cell_angle_beta 90.00
_cell_angle_gamma 90.00
_symmetry_space_group_name_H-M 'P 1'
_symmetry_Int_Tables_number 1
_symmetry_space_group_name_Hall 'P 1'
loop_
_atom_site_label
_atom_site_fract_x
_atom_site_fract_y
_atom_site_fract_z
Mo1 0.000 0.000 0.000
Ba1 0.500 0.500 0.500
Cd1 0.000 0.500 0.000
Cd2 0.000 0.000 0.500
Cd3 0.500 0.000 0.000
# - Symmetry: No. 221
# - DFT formation energy: 2.0 eV per formula unit
# - DFT total energy: -2.71 eV per atom

=====

(12)
# PBE YCoNi4, optimized geometry
data_YCoNi4
_cell_length_a 3.762
_cell_length_b 6.378
_cell_length_c 6.967
_cell_angle_alpha 90.00
_cell_angle_beta 90.00
_cell_angle_gamma 90.00
_symmetry_space_group_name_H-M 'P 1'
_symmetry_Int_Tables_number 1
_symmetry_space_group_name_Hall 'P 1'
loop_
_atom_site_label
_atom_site_fract_x
_atom_site_fract_y
_atom_site_fract_z
Y1 0.000 0.635 0.750
Y2 0.000 0.365 0.250
Co1 0.000 0.223 0.750
Co2 0.000 0.777 0.250
Ni1 0.000 0.000 0.500
Ni2 0.000 0.000 0.000
Ni3 0.500 0.972 0.750
Ni4 0.500 0.028 0.250
Ni5 0.500 0.703 0.057
Ni6 0.500 0.297 0.943
Ni7 0.500 0.703 0.443
Ni8 0.500 0.297 0.557
# - Symmetry: No. 51
# - DFT formation energy: -0.5 eV per formula unit
# - DFT total energy: -6.20 eV per atom

=====

What did we get for total magnetization? Answer: 0.00, 3.90, 0.00, 3.13, 0.00, 0.00, 0.09, 0.00, 0.00, 0.00, 1.48, 5.71 μB/cell, in the order shown.